[1]
DFT (PBEsol) results for a geometry-optimized Mn2CBr structure.

POSCAR file:
```
Mn2CBr
1.0
3.8764 0.0000 0.0000
1.9382 3.3571 0.0000
1.9382 1.1190 3.1651
C Mn Br
1 2 1
Cartesian
0.0000 0.0000 0.0000
1.9382 1.1190 0.7913
5.8147 3.3571 2.3738
3.8764 2.2381 1.5826
```

Results
E: -26.054 eV for the cell shown
Formation energy from raw total energies: 1245 meV per atom

---

[2]
DFT (PBEsol) results for a geometry-optimized Ba2LiHg structure.

POSCAR file:
```
Ba2LiHg
1.0
4.6806 0.0000 0.0000
0.0000 5.2036 0.0000
-2.3403 0.0000 6.1771
Ba Hg Li
2 1 1
Cartesian
2.3403 0.0000 5.9345
0.0000 2.6018 3.3182
2.3403 0.0000 2.2818
2.3403 2.6018 0.8634
```

Results
E_form: -0.273 eV/atom
E: -7.925 eV for the cell shown

---

[3]
DFT (PBEsol) results for a geometry-optimized In2ReHg structure.

POSCAR file:
```
In2ReHg
1.0
2.9243 -0.0772 0.0000
-1.3351 2.6029 0.0000
0.0000 0.0000 10.8903
Hg In Re
1 2 1
Cartesian
0.7946 1.2628 2.9671
0.0000 0.0000 0.1024
0.7946 1.2628 7.8369
0.0000 0.0000 5.4290
```

Results
E_form: 0.574 eV/atom
E: -17.569 eV for the cell shown

---

[4]
DFT (PBEsol) results for a geometry-optimized BaSbAu2 structure.

POSCAR file:
```
BaSbAu2
1.0
4.7311 0.0000 0.0000
0.0000 4.7917 -0.0720
0.0000 -0.6799 5.1250
Au Ba Sb
2 1 1
Cartesian
0.0000 3.9638 5.0266
2.3655 4.2666 1.2791
0.0000 2.0866 2.3537
2.3655 -0.0373 3.9733
```

Results
E: -16.656 eV for the cell shown
Formation energy from raw total energies: -525 meV per atom

---

[5]
DFT (PBEsol) results for a geometry-optimized GaFeN2 structure.

POSCAR file:
```
GaFeN2
1.0
2.7579 0.0000 0.0000
1.3789 2.3884 0.0000
1.3789 0.7961 5.9986
Fe Ga N
1 1 2
Cartesian
2.7579 1.5923 2.9993
0.0000 0.0000 0.0000
4.1368 2.3884 1.9411
1.3789 0.7961 4.0574
```

Results
E: -28.939 eV for the cell shown
Formation energy from raw total energies: 104 meV per atom

---

[6]
DFT (PBEsol) results for a geometry-optimized RbNa2Be structure.

POSCAR file:
```
RbNa2Be
1.0
5.0303 0.0000 0.0000
0.0000 5.0303 0.0000
-2.5152 -2.5152 11.5125
Na Rb Be
4 2 2
Cartesian
1.5751 3.7727 2.8781
3.4552 1.2576 2.8781
-1.2576 -0.9401 8.6344
1.2576 0.9401 8.6344
0.0000 2.5152 5.7563
0.0000 0.0000 0.0000
2.5152 0.0000 5.7563
2.5152 2.5152 0.0000
```

Results
E_form: 0.691 eV/atom
E: -10.125 eV for the cell shown

---

[7]
DFT (PBEsol) results for a geometry-optimized K2Ta2F structure.

POSCAR file:
```
K2Ta2F
1.0
-0.8664 -0.7823 3.7728
-3.3185 -1.8135 -1.1381
6.1282 -5.7515 -1.8524
K F Ta
2 1 2
Cartesian
0.3586 -4.4314 -0.8366
1.5847 -3.9159 1.6189
0.0000 0.0000 0.0000
3.4885 -6.0935 -0.4625
-1.5452 -2.2538 1.2448
```

Results
E: -21.417 eV for the cell shown
Formation energy from raw total energies: 1576 meV per atom

---

[8]
DFT (PBEsol) results for a geometry-optimized YTeO2F structure.

POSCAR file:
```
YTeO2F
1.0
-2.9392 1.7026 -2.4563
-2.0822 -3.6380 -0.0302
-2.4334 1.3608 3.8550
Y Te O F
1 1 2 1
Cartesian
-3.7274 -0.2873 0.6842
0.0000 0.0000 0.0000
-1.0411 -1.8190 -0.0151
-1.4696 0.8513 -1.2282
-1.2167 0.6804 1.9275
```

Results
E: -28.289 eV for the cell shown
Formation energy from raw total energies: -1103 meV per atom

---

[9]
DFT (PBEsol) results for a geometry-optimized Al2SbMo structure.

POSCAR file:
```
Al2SbMo
1.0
3.1728 0.0000 0.0000
1.5864 2.7477 0.0000
1.5864 0.9159 8.3956
Sb Mo Al
1 1 2
Cartesian
1.5864 0.9159 2.2387
3.1728 1.8318 4.2374
1.5864 0.9159 8.3167
4.7592 2.7477 6.1963
```

Results
E: -23.689 eV for the cell shown
Formation energy from raw total energies: 205 meV per atom

---

[10]
DFT (PBEsol) results for a geometry-optimized ScIn2Au structure.

POSCAR file:
```
ScIn2Au
1.0
-2.4258 -4.0738 -1.0308
1.3027 -4.1895 2.0720
-2.8537 -2.0387 3.3531
Au In Sc
1 2 1
Cartesian
0.0000 0.0000 0.0000
-2.9826 -7.7265 3.2957
-0.9942 -2.5755 1.0986
-1.9884 -5.1510 2.1972
```

Results
E_form: -0.300 eV/atom
E: -17.697 eV for the cell shown

---

[11]
DFT (PBEsol) results for a geometry-optimized CdCu2Au structure.

POSCAR file:
```
CdCu2Au
1.0
-2.7835 0.8563 2.8586
-1.7721 -3.6220 -0.6406
4.3553 -0.0682 1.3486
Au Cu Cd
1 2 1
Cartesian
-1.3917 0.4281 1.4293
-1.2391 -2.1083 2.3377
1.0388 -0.7256 1.2289
-0.8860 -1.8110 -0.3203
```

Results
E_form: -0.036 eV/atom
E: -13.933 eV for the cell shown

---

[12]
DFT (PBEsol) results for a geometry-optimized ScTe2S structure.

POSCAR file:
```
ScTe2S
1.0
4.0855 0.0000 0.0000
0.0000 4.0855 0.0000
-2.0427 -2.0427 11.7483
Sc S Te
2 2 4
Cartesian
0.0000 2.0427 5.8741
0.0000 0.0000 0.0000
2.0427 0.0000 5.8741
2.0427 2.0427 0.0000
0.9938 3.0641 2.9371
3.0917 1.0214 2.9371
-1.0214 -1.0490 8.8112
1.0214 1.0490 8.8112
```

Results
E: -40.135 eV for the cell shown
Formation energy from raw total energies: -506 meV per atom

---

[13]
DFT (PBEsol) results for a geometry-optimized LiMn3CrO8 structure.

POSCAR file:
```
LiMn3CrO8
1.0
-2.2411 5.0925 -1.2520
-1.7408 1.1214 -5.3110
-5.8029 0.3813 -1.0500
Li Mn Cr O
1 3 1 8
Cartesian
-3.7719 0.7514 -3.1805
-1.1206 2.5462 -0.6260
-1.9910 3.1070 -3.2815
-0.8704 0.5607 -2.6555
0.0000 0.0000 0.0000
-3.0957 2.3138 -4.6042
-4.2035 4.8310 -5.2230
-7.5445 4.8755 -5.6298
-6.4657 2.3154 -4.9856
-3.3192 4.2799 -2.6275
-2.2404 1.7197 -1.9832
-5.5814 1.7643 -2.3900
-6.6892 4.2815 -3.0088
```

Results
E: -106.135 eV for the cell shown
Formation energy from raw total energies: -1742 meV per atom

---

[14]
DFT (PBEsol) results for a geometry-optimized YTa2P structure.

POSCAR file:
```
YTa2P
1.0
-1.3498 -0.4662 -2.6598
1.9613 -2.2617 0.3895
-6.0753 -4.5985 3.8890
P Ta Y
1 2 1
Cartesian
0.3057 -1.3639 -1.1352
-1.1869 -0.8984 0.7598
-4.8884 -3.7002 3.1292
-2.7319 -3.6632 0.8093
```

Results
E_form: -0.059 eV/atom
E: -37.952 eV for the cell shown

---

[15]
DFT (PBEsol) results for a geometry-optimized B2SbHPd structure.

POSCAR file:
```
B2SbHPd
1.0
-1.2727 -2.5822 -2.4771
3.5706 -1.0883 -0.7000
-0.2503 -2.7435 2.9886
Sb B Pd H
1 2 1 1
Cartesian
-0.1252 -1.3718 1.4943
1.7853 -0.5442 -0.3500
-0.6363 -1.2911 -1.2385
1.0238 -3.2070 -0.0942
0.0000 0.0000 0.0000
```

Results
E: -21.255 eV for the cell shown

---

[16]
DFT (PBEsol) results for a geometry-optimized CuNi6Ru structure.

POSCAR file:
```
CuNi6Ru
1.0
-5.3991 0.8994 -2.6655
-0.8121 -2.8874 5.2979
-0.8338 8.7503 4.6412
Cu Ni Ru
4 24 4
Cartesian
-1.9590 -1.9406 3.3069
-4.2523 -0.0474 -0.6745
-3.7324 5.5840 4.8052
-3.3126 1.1782 2.4684
-2.5832 4.6272 6.7942
-5.9550 6.6495 5.0408
-1.7169 6.6918 5.7223
-4.8799 6.5233 2.8069
-2.8640 7.6388 3.7308
-4.8079 5.7025 7.0323
-3.5225 3.3811 3.6368
-1.5082 4.5069 4.5608
-2.6536 5.4525 2.5723
-2.1651 0.2389 4.4666
-5.5368 2.2553 2.7128
-1.2979 2.2999 3.3902
-4.4618 2.1350 0.4793
-2.4433 3.2455 1.4017
-4.3914 1.3098 4.7012
-3.1056 -0.9940 1.3162
-1.0900 0.1127 2.2328
-2.2371 1.0598 0.2412
-0.4169 4.3751 2.3206
-4.6017 3.5168 5.8718
-5.7471 4.4623 3.8834
0.0000 0.0000 0.0000
-4.1810 -0.8766 3.5428
-5.3281 0.0704 1.5512
-2.3704 2.4300 5.6370
-4.6746 4.3323 1.6366
-0.6291 6.6027 3.5021
-0.2046 2.1476 1.1391
```

Results
E_form: 0.070 eV/atom
E: -203.577 eV for the cell shown

---

[17]
DFT (PBEsol) results for a geometry-optimized TlCo3Cl structure.

POSCAR file:
```
TlCo3Cl
1.0
4.1161 0.0000 0.0000
0.0000 4.1161 0.0000
0.0000 0.0000 4.1161
Tl Co Cl
1 3 1
Cartesian
2.0580 2.0580 2.0580
0.0000 2.0580 0.0000
0.0000 0.0000 2.0580
2.0580 0.0000 0.0000
0.0000 0.0000 0.0000
```

Results
E: -24.269 eV for the cell shown
Formation energy from raw total energies: 716 meV per atom

---

[18]
DFT (PBEsol) results for a geometry-optimized Na3ZnW structure.

POSCAR file:
```
Na3ZnW
1.0
-5.4233 -1.9999 1.2748
1.4455 -5.3098 -2.1802
1.8802 -1.6862 5.3533
Na Zn W
3 1 1
Cartesian
0.7228 -2.6549 -1.0901
0.9401 -0.8431 2.6767
-2.7116 -0.9999 0.6374
-1.0488 -4.4979 2.2240
0.0000 0.0000 0.0000
```

Results
E_form: 1.744 eV/atom
E: -10.867 eV for the cell shown

---

[19]
DFT (PBEsol) results for a geometry-optimized AlRuRh2 structure.

POSCAR file:
```
AlRuRh2
1.0
3.7889 0.0000 0.0000
0.0000 3.7889 0.0000
-1.8945 -1.8945 3.7417
Ru Rh Al
1 2 1
Cartesian
1.8945 1.8945 0.0000
0.0000 1.8945 1.8708
1.8945 0.0000 1.8708
0.0000 0.0000 0.0000
```

Results
E_form: -0.383 eV/atom
E: -32.073 eV for the cell shown

---

[20]
DFT (PBEsol) results for a geometry-optimized Sc5Co structure.

POSCAR file:
```
Sc5Co
1.0
-2.6479 1.3300 -1.3153
-1.8044 -3.5000 4.0889
1.9148 6.6555 2.8751
Sc Co
5 1
Cartesian
-0.1136 1.7255 1.9736
-3.0072 0.1762 2.2367
-1.3240 0.6650 -0.6577
0.4696 4.3093 3.4120
-2.4239 2.7600 3.6752
-0.3666 3.9927 0.7799
```

Results
E_form: -0.105 eV/atom
E: -41.392 eV for the cell shown